Material: Ba3CeCr2O9
Method: DFT, PBE with a Hubbard U
State: optimized geometry

Cell and atoms, written as CIF:
```
data_Ba3CeCr2O9
_symmetry_space_group_name_H-M 'P -3 m 1'
_symmetry_Int_Tables_number 164
_symmetry_space_group_name_Hall '-P 3 2"'
_cell_length_a 5.8241
_cell_length_b 5.8241
_cell_length_c 7.2305
_cell_angle_alpha 90.00
_cell_angle_beta 90.00
_cell_angle_gamma 120.00
loop_
_atom_site_label
_atom_site_fract_x
_atom_site_fract_y
_atom_site_fract_z
_atom_site_occupancy
Ba1 0.0000 0.0000 0.0000 1
Ba2 0.3333 0.6667 0.6848 1
Ce1 0.0000 0.0000 0.5000 1
Cr1 0.3333 0.6667 0.1589 1
O1 0.0000 0.5000 0.0000 1
O2 0.1778 0.3557 0.3167 1
```

Values from the calculation:
density of states at the Fermi level	3.04	states/eV/f.u.
calculated density	6.3	g cm⁻³
raw total energy	-7.207	eV/atom